(1)
## SmInPd6 (PBE-GGA)

Data for an optimized crystal structure of SmInPd6.

CIF file:
```
data_SmInPd6
_chemical_formula_sum 'Sm1 In1 Pd6'
_cell_length_a 4.1191
_cell_length_b 4.1191
_cell_length_c 8.1768
_cell_angle_alpha 90.00
_cell_angle_beta 90.00
_cell_angle_gamma 90.00
_space_group_name_H-M_alt 'P 4/m m m'
_space_group_IT_number 123
_space_group_name_Hall '-P 4 2'
loop_
_atom_site_label
_atom_site_type_symbol
_atom_site_fract_x
_atom_site_fract_y
_atom_site_fract_z
Sm1 Sm 0.0000 0.0000 0.0000
In1 In 0.0000 0.0000 0.5000
Pd1 Pd 0.0000 0.5000 0.2600
Pd2 Pd 0.5000 0.5000 0.0000
Pd3 Pd 0.5000 0.5000 0.5000
```

For the formation energy, the calculation gives -0.620 eV per atom. The energy above the most stable polymorph in this dataset is 0.000 eV/atom.

***

(2)
## Mg2SbSe (PBE-GGA)

Data for an optimized crystal structure of Mg2SbSe.

CIF file:
```
data_Mg2SbSe
_chemical_formula_sum 'Mg4 Sb2 Se2'
_cell_length_a 3.5674
_cell_length_b 3.6998
_cell_length_c 14.5720
_cell_angle_alpha 90.00
_cell_angle_beta 90.00
_cell_angle_gamma 90.00
_space_group_name_H-M_alt 'I m m 2'
_space_group_IT_number 44
_space_group_name_Hall 'I 2 -2'
loop_
_atom_site_label
_atom_site_type_symbol
_atom_site_fract_x
_atom_site_fract_y
_atom_site_fract_z
Mg1 Mg 0.0000 0.0000 0.0000
Mg2 Mg 0.0000 0.5000 0.2205
Sb1 Sb 0.0000 0.5000 0.8330
Se1 Se 0.0000 0.0000 0.5776
```

The energy above the most stable polymorph in this dataset is 0.124 eV/atom. Its raw formation energy is -0.585 eV per atom.

***

(3)
## Li3ZrPa3Te8 (PBE-GGA)

Data for an optimized crystal structure of Li3ZrPa3Te8.

CIF file:
```
data_Li3ZrPa3Te8
_chemical_formula_sum 'Li9 Zr3 Pa9 Te24'
_cell_length_a 8.3495
_cell_length_b 8.3495
_cell_length_c 22.0664
_cell_angle_alpha 90.00
_cell_angle_beta 90.00
_cell_angle_gamma 120.00
_space_group_name_H-M_alt 'R -3 m'
_space_group_IT_number 166
_space_group_name_Hall '-R 3 2"'
loop_
_atom_site_label
_atom_site_type_symbol
_atom_site_fract_x
_atom_site_fract_y
_atom_site_fract_z
Li1 Li 0.0000 0.5000 0.0000
Zr1 Zr 0.0000 0.0000 0.5000
Pa1 Pa 0.0000 0.5000 0.5000
Te1 Te 0.0000 0.0000 0.2560
Te2 Te 0.0100 0.5050 0.2515
```

Its raw formation energy is -0.866 eV per atom.

***

(4)
## PmAl4Ru (PBE-GGA)

Data for an optimized crystal structure of PmAl4Ru.

CIF file:
```
data_PmAl4Ru
_chemical_formula_sum 'Pm2 Al8 Ru2'
_cell_length_a 7.7626
_cell_length_b 4.1501
_cell_length_c 6.9875
_cell_angle_alpha 90.00
_cell_angle_beta 90.00
_cell_angle_gamma 90.00
_space_group_name_H-M_alt 'P m m a'
_space_group_IT_number 51
_space_group_name_Hall '-P 2a 2a'
loop_
_atom_site_label
_atom_site_type_symbol
_atom_site_fract_x
_atom_site_fract_y
_atom_site_fract_z
Pm1 Pm 0.2500 0.0000 0.1262
Al1 Al 0.0000 0.0000 0.5000
Al2 Al 0.0674 0.5000 0.8090
Al3 Al 0.2500 0.5000 0.4614
Ru1 Ru 0.2500 0.0000 0.6951
```

For the formation energy, the calculation gives -0.582 eV per atom.

***

(5)
## Rb2Ga4Si (PBE-GGA)

Data for an optimized crystal structure of Rb2Ga4Si.

CIF file:
```
data_Rb2Ga4Si
_chemical_formula_sum 'Rb4 Ga8 Si2'
_cell_length_a 7.7043
_cell_length_b 6.6666
_cell_length_c 8.2768
_cell_angle_alpha 90.00
_cell_angle_beta 100.67
_cell_angle_gamma 90.00
_space_group_name_H-M_alt 'P 1 21/m 1'
_space_group_IT_number 11
_space_group_name_Hall '-P 2yb'
loop_
_atom_site_label
_atom_site_type_symbol
_atom_site_fract_x
_atom_site_fract_y
_atom_site_fract_z
Rb1 Rb 0.0954 0.2500 0.2388
Rb2 Rb 0.3699 0.7500 0.0600
Ga1 Ga 0.1310 0.2500 0.8029
Ga2 Ga 0.2780 0.0053 0.6213
Ga3 Ga 0.4930 0.7500 0.5009
Si1 Si 0.1375 0.7500 0.4183
```

Its raw formation energy is 0.021 eV per atom.

***

(6)
## BaMo2AuN (PBE-GGA)

Data for an optimized crystal structure of BaMo2AuN.

CIF file:
```
data_BaMo2AuN
_chemical_formula_sum 'Ba1 Mo2 Au1 N1'
_cell_length_a 4.1892
_cell_length_b 4.1892
_cell_length_c 5.5424
_cell_angle_alpha 90.00
_cell_angle_beta 90.00
_cell_angle_gamma 90.00
_space_group_name_H-M_alt 'P 4/m m m'
_space_group_IT_number 123
_space_group_name_Hall '-P 4 2'
loop_
_atom_site_label
_atom_site_type_symbol
_atom_site_fract_x
_atom_site_fract_y
_atom_site_fract_z
Ba1 Ba 0.0000 0.0000 0.0000
Mo1 Mo 0.0000 0.5000 0.5000
Au1 Au 0.5000 0.5000 0.0000
N1 N 0.0000 0.0000 0.5000
```

Its raw formation energy is 0.308 eV per atom.

***

(7)
## La7Pm2Cd2 (PBE-GGA)

Data for an optimized crystal structure of La7Pm2Cd2.

CIF file:
```
data_La7Pm2Cd2
_chemical_formula_sum 'La14 Pm4 Cd4'
_cell_length_a 9.1971
_cell_length_b 10.3331
_cell_length_c 8.1295
_cell_angle_alpha 90.00
_cell_angle_beta 101.37
_cell_angle_gamma 90.00
_space_group_name_H-M_alt 'C 1 2/m 1'
_space_group_IT_number 12
_space_group_name_Hall '-C 2y'
loop_
_atom_site_label
_atom_site_type_symbol
_atom_site_fract_x
_atom_site_fract_y
_atom_site_fract_z
La1 La 0.0000 0.0000 0.0000
La2 La 0.1646 0.5000 0.4864
La3 La 0.1910 0.2812 0.1822
Pm1 Pm 0.0000 0.1661 0.5000
Cd1 Cd 0.1085 0.5000 0.8741
```

For the formation energy, the calculation gives 0.018 eV per atom. The energy above the most stable polymorph in this dataset is 0.022 eV/atom.

***

(8)
## TaV3Co6 (PBE-GGA)

Data for an optimized crystal structure of TaV3Co6.

CIF file:
```
data_TaV3Co6
_chemical_formula_sum 'Ta2 V6 Co12'
_cell_length_a 7.9420
_cell_length_b 3.6401
_cell_length_c 8.2401
_cell_angle_alpha 90.00
_cell_angle_beta 91.77
_cell_angle_gamma 90.00
_space_group_name_H-M_alt 'P 1 21/m 1'
_space_group_IT_number 11
_space_group_name_Hall '-P 2yb'
loop_
_atom_site_label
_atom_site_type_symbol
_atom_site_fract_x
_atom_site_fract_y
_atom_site_fract_z
Ta1 Ta 0.0588 0.2500 0.3766
V1 V 0.2491 0.2500 0.0159
V2 V 0.3485 0.7500 0.7982
V3 V 0.4435 0.2500 0.5956
Co1 Co 0.0568 0.7500 0.9103
Co2 Co 0.1526 0.2500 0.7091
Co3 Co 0.1594 0.7500 0.1914
Co4 Co 0.2509 0.7500 0.4955
Co5 Co 0.3619 0.2500 0.2957
Co6 Co 0.4533 0.7500 0.1000
```

For the formation energy, the calculation gives -0.147 eV per atom.

***

no.,energy (eV/atom),DOS(E_F) (states/eV per atom),magnetic moment (μB per cell)
1,-5.447,0.9793,0.00
2,-3.284,0.1994,0.00
3,-5.393,1.2364,16.25
4,-5.415,0.2890,0.00
5,-2.760,0.3745,0.00
6,-6.729,0.4752,0.00
7,-4.148,1.3851,0.00
8,-8.331,1.0368,0.00